No. 1
The following is a PBE-GGA calculation of crystalline NaTa2Re at its relaxed geometry, from Alexandria.

The space group is I-42d (No. 122) and the conventional cell measures 7.4387, 7.4387 and 5.7261 Å, with angles of 90.00, 90.00 and 90.00 degrees. The inequivalent atoms are Na at (0.0000, 0.0000, 0.0000), Ta at (0.2140, 0.2500, 0.6250) and Re at (0.0000, 0.0000, 0.5000).

The spin magnetization is 0.000 Bohr magnetons per cell. The excess energy over the best structure of this formula in the dataset comes out at 2.27 eV/f.u. The calculation puts the energy at -8.287 eV/atom. The calculated formation energy is 1.08 eV/atom.


No. 2
The following is a PBE-GGA calculation of crystalline Tb5ThSc6 at its relaxed geometry, from Alexandria.

The space group is C2/m (No. 12) and the conventional cell measures 5.9511, 10.3051 and 11.1192 Å, with angles of 90.00, 100.28 and 90.00 degrees. The inequivalent atoms are Tb at (0.0000, 0.0000, 0.0000), Tb at (0.0000, 0.1668, 0.5000), Tb at (0.0000, 0.3327, 0.0000), Th at (0.0000, 0.5000, 0.5000), Sc at (0.2451, 0.5000, 0.2514) and Sc at (0.2470, 0.3360, 0.7488).

The spin magnetization is 0.000 Bohr magnetons per cell. The calculation puts the energy at -5.660 eV/atom. The calculated formation energy is 0.05 eV/atom.


No. 3
The following is a PBE-GGA calculation of crystalline PmPrSm3Er at its relaxed geometry, from Alexandria.

The space group is Cmcm (No. 63) and the conventional cell measures 5.1214, 15.4136 and 10.2480 Å, with angles of 90.00, 90.00 and 90.00 degrees. The inequivalent atoms are Pm at (0.0000, 0.0008, 0.2500), Pr at (0.0000, 0.5000, 0.0000), Sm at (0.0000, 0.1677, 0.0004), Sm at (0.0000, 0.3318, 0.2500) and Er at (0.0000, 0.3326, 0.7500).

The spin magnetization is 0.005 Bohr magnetons per cell. The calculation puts the energy at -4.691 eV/atom. The calculated formation energy is 0.02 eV/atom.


No. 4
The following is a PBE-GGA calculation of crystalline H8PdPt2 at its relaxed geometry, from Alexandria.

The space group is C2/m (No. 12) and the conventional cell measures 10.1177, 5.7530 and 3.2787 Å, with angles of 90.00, 90.74 and 90.00 degrees. The inequivalent atoms are H at (0.0526, 0.0000, 0.4930), H at (0.1397, 0.2939, 0.4954), H at (0.1741, 0.0000, 0.9971), Pd at (0.0000, 0.5000, 0.5000) and Pt at (0.2175, 0.0000, 0.4987).

The spin magnetization is 0.000 Bohr magnetons per cell. The calculation puts the energy at -3.891 eV/atom.


No. 5
The following is a PBE-GGA calculation of crystalline Ho8Er2Tm at its relaxed geometry, from Alexandria.

The space group is C2/m (No. 12) and the conventional cell measures 18.7181, 6.8607 and 5.5131 Å, with angles of 90.00, 92.90 and 90.00 degrees. The inequivalent atoms are Ho at (0.0465, 0.0000, 0.2352), Ho at (0.1317, 0.2342, 0.7325), Ho at (0.1870, 0.5000, 0.2324), Er at (0.2161, 0.0000, 0.2514) and Tm at (0.0000, 0.5000, 0.0000).

The spin magnetization is 0.002 Bohr magnetons per cell. The excess energy over the best structure of this formula in the dataset comes out at 0.00 eV/f.u. The calculation puts the energy at -4.397 eV/atom. The calculated formation energy is 0.17 eV/atom.


No. 6
The following is a PBE-GGA calculation of crystalline Ga3Ni7Pd2 at its relaxed geometry, from Alexandria.

The space group is P2/m (No. 10) and the conventional cell measures 4.0146, 2.6857 and 14.4762 Å, with angles of 90.00, 93.90 and 90.00 degrees. The inequivalent atoms are Ga at (0.0000, 0.0000, 0.0000), Ga at (0.2883, 0.5000, 0.6192), Ni at (0.1266, 0.5000, 0.1352), Ni at (0.2399, 0.0000, 0.4591), Ni at (0.3691, 0.0000, 0.8481), Ni at (0.5000, 0.5000, 0.0000) and Pd at (0.1762, 0.0000, 0.2867).

The spin magnetization is 1.232 Bohr magnetons per cell. The calculation puts the energy at -5.093 eV/atom. The calculated formation energy is -0.10 eV/atom.


No. 7
The following is a PBE-GGA calculation of crystalline Cu3Tc5H12 at its relaxed geometry, from Alexandria.

The space group is Ia-3d (No. 230) and the conventional cell measures 10.6621, 10.6621 and 10.6621 Å, with angles of 90.00, 90.00 and 90.00 degrees. The inequivalent atoms are Cu at (0.0000, 0.2500, 0.1250), Tc at (0.0000, 0.0000, 0.0000), Tc at (0.0000, 0.2500, 0.3750) and H at (0.0089, 0.0696, 0.6545).

The spin magnetization is 0.051 Bohr magnetons per cell. The calculation puts the energy at -4.919 eV/atom.


No. 8
The following is a PBE-GGA calculation of crystalline ScRu2Pb at its relaxed geometry, from Alexandria.

The space group is F-43m (No. 216) and the conventional cell measures 6.5986, 6.5986 and 6.5986 Å, with angles of 90.00, 90.00 and 90.00 degrees. The inequivalent atoms are Sc at (0.0000, 0.0000, 0.0000), Ru at (0.0000, 0.0000, 0.5000), Ru at (0.2500, 0.2500, 0.2500) and Pb at (0.2500, 0.2500, 0.7500).

The spin magnetization is 9.130 Bohr magnetons per cell. The calculation puts the energy at -6.945 eV/atom. The calculated formation energy is 0.20 eV/atom.


No. 9
The following is a PBE-GGA calculation of crystalline BaSc2Ru at its relaxed geometry, from Alexandria.

The space group is Fm-3m (No. 225) and the conventional cell measures 7.1568, 7.1568 and 7.1568 Å, with angles of 90.00, 90.00 and 90.00 degrees. The inequivalent atoms are Ba at (0.0000, 0.0000, 0.0000), Sc at (0.2500, 0.2500, 0.2500) and Ru at (0.0000, 0.0000, 0.5000).

The spin magnetization is 0.000 Bohr magnetons per cell. The excess energy over the best structure of this formula in the dataset comes out at 1.96 eV/f.u. The calculation puts the energy at -5.645 eV/atom. The calculated formation energy is 0.32 eV/atom.


No. 10
The following is a PBE-GGA calculation of crystalline MnAg2Ir at its relaxed geometry, from Alexandria.

The space group is Cm (No. 8) and the conventional cell measures 9.2538, 2.8971 and 4.9487 Å, with angles of 90.00, 102.90 and 90.00 degrees. The inequivalent atoms are Mn at (0.0000, 0.0000, 0.0000), Ag at (0.2447, 0.0000, 0.7144), Ag at (0.4858, 0.0000, 0.4778) and Ir at (0.2279, 0.5000, 0.1959).

The spin magnetization is 8.161 Bohr magnetons per cell. The excess energy over the best structure of this formula in the dataset comes out at 0.51 eV/f.u. The calculation puts the energy at -5.657 eV/atom. The calculated formation energy is 0.28 eV/atom.